The following is a DFT calculation (PBE) of a geometry-optimized WN2 structure.

The value obtained for the magnetization is 0.3 μB per formula unit. The calculation puts the total energy at -9.49 eV/atom. The calculated density is 11.8 g cm⁻³. For the calculated volume, the calculation gives 119.3 Å³/cell.

The space group is Fm-3m (No. 225) and the conventional cell measures 4.9223, 4.9223 and 4.9223 Å, with angles of 90.00, 90.00 and 90.00 degrees. Symmetry generates all atoms from W at (0.0000, 0.0000, 0.0000) and N at (0.2500, 0.2500, 0.2500).